# ZrZnIn2, optimized geometry, DFT PBE-GGA
# Formation enthalpy at 0 K = -0.0161 eV per atom
# Space group = R3m (160)
# Total magnetic moment = 0.0 μB per cell
# Total DFT energy (no corrections) = -15.363 eV/cell
data_ZrZnIn2
_chemical_formula_sum 'Zr1 Zn1 In2'
_cell_length_a 10.047
_cell_length_b 10.047
_cell_length_c 10.047
_cell_angle_alpha 18.57
_cell_angle_beta 18.57
_cell_angle_gamma 18.57
_symmetry_space_group_name_H-M 'P 1'
_symmetry_Int_Tables_number 1
_symmetry_space_group_name_Hall 'P 1'
loop_
_atom_site_label
_atom_site_type_symbol
_atom_site_fract_x
_atom_site_fract_y
_atom_site_fract_z
_atom_site_occupancy
In1 In 0.003 0.003 0.003 1
In2 In 0.244 0.244 0.244 1
Zn1 Zn 0.498 0.498 0.498 1
Zr1 Zr 0.755 0.755 0.755 1


# TlVP2S8, optimized geometry, DFT PBE-GGA
# Space group = R-3 (148)
# Total magnetic moment = 0.0 μB per cell
# Total DFT energy (no corrections) = -58.646 eV/cell
data_TlVP2S8
_chemical_formula_sum 'Tl1 V1 P2 S8'
_cell_length_a 5.896
_cell_length_b 5.896
_cell_length_c 10.024
_cell_angle_alpha 72.90
_cell_angle_beta 72.90
_cell_angle_gamma 60.00
_symmetry_space_group_name_H-M 'P 1'
_symmetry_Int_Tables_number 1
_symmetry_space_group_name_Hall 'P 1'
loop_
_atom_site_label
_atom_site_type_symbol
_atom_site_fract_x
_atom_site_fract_y
_atom_site_fract_z
_atom_site_occupancy
Tl1 Tl 0.500 0.500 0.500 1
V1 V 0.000 0.000 0.000 1
P1 P 0.264 0.264 0.208 1
P2 P 0.736 0.736 0.792 1
S1 S 0.194 0.194 0.418 1
S2 S 0.626 0.286 0.140 1
S3 S 0.806 0.806 0.582 1
S4 S 0.948 0.626 0.140 1
S5 S 0.052 0.374 0.860 1
S6 S 0.286 0.948 0.140 1
S7 S 0.714 0.052 0.860 1
S8 S 0.374 0.714 0.860 1


# SrTcNi3, optimized geometry, DFT PBE-GGA
# Formation enthalpy at 0 K = 0.5789 eV per atom
# Space group = Pm-3m (221)
# Total magnetic moment = 0.0 μB per cell
# Total DFT energy (no corrections) = -26.497 eV/cell
data_SrTcNi3
_chemical_formula_sum 'Sr1 Tc1 Ni3'
_cell_length_a 4.608
_cell_length_b 4.608
_cell_length_c 4.608
_cell_angle_alpha 90.00
_cell_angle_beta 90.00
_cell_angle_gamma 90.00
_symmetry_space_group_name_H-M 'P 1'
_symmetry_Int_Tables_number 1
_symmetry_space_group_name_Hall 'P 1'
loop_
_atom_site_label
_atom_site_type_symbol
_atom_site_fract_x
_atom_site_fract_y
_atom_site_fract_z
_atom_site_occupancy
Sr1 Sr 0.500 0.500 0.500 1
Tc1 Tc 0.000 0.000 0.000 1
Ni1 Ni 0.000 0.500 0.000 1
Ni2 Ni 0.000 0.000 0.500 1
Ni3 Ni 0.500 0.000 0.000 1


# SrCo2Tc, optimized geometry, DFT PBE-GGA
# Formation enthalpy at 0 K = 0.4618 eV per atom
# Space group = P4/mmm (123)
# Total magnetic moment = 2.4 μB per cell
# Total DFT energy (no corrections) = -24.412 eV/cell
data_SrCo2Tc
_chemical_formula_sum 'Sr1 Co2 Tc1'
_cell_length_a 3.097
_cell_length_b 3.097
_cell_length_c 7.793
_cell_angle_alpha 66.56
_cell_angle_beta 90.00
_cell_angle_gamma 90.00
_symmetry_space_group_name_H-M 'P 1'
_symmetry_Int_Tables_number 1
_symmetry_space_group_name_Hall 'P 1'
loop_
_atom_site_label
_atom_site_type_symbol
_atom_site_fract_x
_atom_site_fract_y
_atom_site_fract_z
_atom_site_occupancy
Co1 Co 0.000 0.074 0.926 1
Co2 Co 0.000 0.426 0.574 1
Sr1 Sr 0.500 0.250 0.250 1
Tc1 Tc 0.500 0.750 0.750 1


# Al2CrCuSb, optimized geometry, DFT PBE-GGA
# Space group = P4/mmm (123)
# Total magnetic moment = 3.8 μB per cell
# Total DFT energy (no corrections) = -23.312 eV/cell
data_Al2CrCuSb
_chemical_formula_sum 'Al2 Cr1 Cu1 Sb1'
_cell_length_a 4.544
_cell_length_b 4.859
_cell_length_c 4.544
_cell_angle_alpha 90.00
_cell_angle_beta 90.00
_cell_angle_gamma 90.00
_symmetry_space_group_name_H-M 'P 1'
_symmetry_Int_Tables_number 1
_symmetry_space_group_name_Hall 'P 1'
loop_
_atom_site_label
_atom_site_type_symbol
_atom_site_fract_x
_atom_site_fract_y
_atom_site_fract_z
_atom_site_occupancy
Sb1 Sb 0.500 0.500 0.500 1
Al1 Al 0.000 0.000 0.500 1
Al2 Al 0.500 0.000 0.000 1
Cu1 Cu 0.000 0.000 0.000 1
Cr1 Cr 0.000 0.500 0.000 1


# Ho8SiSn2, optimized geometry, DFT PBE-GGA
# Space group = C2/m (12)
# Total magnetic moment = 0.0 μB per cell
# Total DFT energy (no corrections) = -54.344 eV/cell
data_Ho8SiSn2
_chemical_formula_sum 'Ho8 Si1 Sn2'
_cell_length_a 4.968
_cell_length_b 6.633
_cell_length_c 9.981
_cell_angle_alpha 104.04
_cell_angle_beta 104.41
_cell_angle_gamma 90.00
_symmetry_space_group_name_H-M 'P 1'
_symmetry_Int_Tables_number 1
_symmetry_space_group_name_Hall 'P 1'
loop_
_atom_site_label
_atom_site_type_symbol
_atom_site_fract_x
_atom_site_fract_y
_atom_site_fract_z
_atom_site_occupancy
Ho1 Ho 0.411 0.537 0.822 1
Ho2 Ho 0.651 0.002 0.301 1
Ho3 Ho 0.780 0.679 0.560 1
Ho4 Ho 0.978 0.221 0.956 1
Ho5 Ho 0.220 0.321 0.440 1
Ho6 Ho 0.349 0.998 0.699 1
Ho7 Ho 0.589 0.463 0.178 1
Ho8 Ho 0.022 0.779 0.044 1
Si1 Si 0.500 0.000 0.000 1
Sn1 Sn 0.819 0.242 0.638 1
Sn2 Sn 0.181 0.758 0.362 1


# NpTlGeO5, optimized geometry, DFT PBE-GGA
# Space group = C2/c (15)
# Total magnetic moment = 4.0 μB per cell
# Total DFT energy (no corrections) = -121.941 eV/cell
data_NpTlGeO5
_chemical_formula_sum 'Np2 Tl2 Ge2 O10'
_cell_length_a 6.197
_cell_length_b 6.197
_cell_length_c 8.066
_cell_angle_alpha 105.32
_cell_angle_beta 105.32
_cell_angle_gamma 105.46
_symmetry_space_group_name_H-M 'P 1'
_symmetry_Int_Tables_number 1
_symmetry_space_group_name_Hall 'P 1'
loop_
_atom_site_label
_atom_site_type_symbol
_atom_site_fract_x
_atom_site_fract_y
_atom_site_fract_z
_atom_site_occupancy
Np1 Np 0.000 0.000 0.500 1
Np2 Np 0.000 0.000 0.000 1
Tl1 Tl 0.331 0.669 0.250 1
Tl2 Tl 0.669 0.331 0.750 1
Ge1 Ge 0.688 0.312 0.250 1
Ge2 Ge 0.312 0.688 0.750 1
O1 O 0.055 0.945 0.250 1
O2 O 0.945 0.055 0.750 1
O3 O 0.874 0.285 0.114 1
O4 O 0.126 0.715 0.886 1
O5 O 0.715 0.126 0.386 1
O6 O 0.285 0.874 0.614 1
O7 O 0.776 0.620 0.391 1
O8 O 0.224 0.380 0.609 1
O9 O 0.380 0.224 0.109 1
O10 O 0.620 0.776 0.891 1


# Sm4ErSc2, optimized geometry, DFT PBE-GGA
# Formation enthalpy at 0 K = 0.1538 eV per atom
# Space group = P2_1/m (11)
# Total magnetic moment = 0.0 μB per cell
# Total DFT energy (no corrections) = -70.052 eV/cell
data_Sm4ErSc2
_chemical_formula_sum 'Sm8 Er2 Sc4'
_cell_length_a 5.516
_cell_length_b 6.838
_cell_length_c 11.786
_cell_angle_alpha 90.00
_cell_angle_beta 103.56
_cell_angle_gamma 90.00
_symmetry_space_group_name_H-M 'P 1'
_symmetry_Int_Tables_number 1
_symmetry_space_group_name_Hall 'P 1'
loop_
_atom_site_label
_atom_site_type_symbol
_atom_site_fract_x
_atom_site_fract_y
_atom_site_fract_z
_atom_site_occupancy
Sm1 Sm 0.645 0.498 0.289 1
Sm2 Sm 0.930 0.750 0.859 1
Sm3 Sm 0.070 0.250 0.141 1
Sm4 Sm 0.645 0.002 0.289 1
Sm5 Sm 0.783 0.250 0.566 1
Sm6 Sm 0.355 0.998 0.711 1
Sm7 Sm 0.355 0.502 0.711 1
Sm8 Sm 0.217 0.750 0.434 1
Er1 Er 0.076 0.750 0.150 1
Er2 Er 0.924 0.250 0.850 1
Sc1 Sc 0.502 0.750 0.001 1
Sc2 Sc 0.498 0.250 0.999 1
Sc3 Sc 0.211 0.250 0.421 1
Sc4 Sc 0.789 0.750 0.579 1


# ReAs2Au, optimized geometry, DFT PBE-GGA
# Formation enthalpy at 0 K = 0.2985 eV per atom
# Space group = Imm2 (44)
# Total magnetic moment = 0.0 μB per cell
# Total DFT energy (no corrections) = -23.830 eV/cell
data_ReAs2Au
_chemical_formula_sum 'Re1 As2 Au1'
_cell_length_a 6.892
_cell_length_b 6.892
_cell_length_c 6.892
_cell_angle_alpha 154.62
_cell_angle_beta 148.03
_cell_angle_gamma 41.25
_symmetry_space_group_name_H-M 'P 1'
_symmetry_Int_Tables_number 1
_symmetry_space_group_name_Hall 'P 1'
loop_
_atom_site_label
_atom_site_type_symbol
_atom_site_fract_x
_atom_site_fract_y
_atom_site_fract_z
_atom_site_occupancy
Re1 Re 0.782 0.282 0.500 1
As1 As 0.937 0.937 0.000 1
As2 As 0.218 0.718 0.500 1
Au1 Au 0.562 0.562 0.000 1


# Ti8PN2, optimized geometry, DFT PBE-GGA
# Space group = C2/m (12)
# Total magnetic moment = 0.0 μB per cell
# Total DFT energy (no corrections) = -91.901 eV/cell
data_Ti8PN2
_chemical_formula_sum 'Ti8 P1 N2'
_cell_length_a 4.287
_cell_length_b 6.134
_cell_length_c 6.134
_cell_angle_alpha 112.04
_cell_angle_beta 96.13
_cell_angle_gamma 96.13
_symmetry_space_group_name_H-M 'P 1'
_symmetry_Int_Tables_number 1
_symmetry_space_group_name_Hall 'P 1'
loop_
_atom_site_label
_atom_site_type_symbol
_atom_site_fract_x
_atom_site_fract_y
_atom_site_fract_z
_atom_site_occupancy
Ti1 Ti 0.912 0.923 0.665 1
Ti2 Ti 0.912 0.665 0.923 1
Ti3 Ti 0.301 0.610 0.610 1
Ti4 Ti 0.500 0.749 0.251 1
Ti5 Ti 0.500 0.251 0.749 1
Ti6 Ti 0.699 0.390 0.390 1
Ti7 Ti 0.088 0.335 0.077 1
Ti8 Ti 0.088 0.077 0.335 1
P1 P 0.500 0.000 0.000 1
N1 N 0.000 0.310 0.690 1
N2 N 0.000 0.690 0.310 1


# YCrTe4, optimized geometry, DFT PBE-GGA
# Space group = F-43m (216)
# Total magnetic moment = 5.3 μB per cell
# Total DFT energy (no corrections) = -26.198 eV/cell
data_YCrTe4
_chemical_formula_sum 'Y1 Cr1 Te4'
_cell_length_a 6.315
_cell_length_b 6.315
_cell_length_c 6.315
_cell_angle_alpha 60.00
_cell_angle_beta 60.00
_cell_angle_gamma 60.00
_symmetry_space_group_name_H-M 'P 1'
_symmetry_Int_Tables_number 1
_symmetry_space_group_name_Hall 'P 1'
loop_
_atom_site_label
_atom_site_type_symbol
_atom_site_fract_x
_atom_site_fract_y
_atom_site_fract_z
_atom_site_occupancy
Y1 Y 0.750 0.750 0.750 1
Cr1 Cr 0.000 0.000 0.000 1
Te1 Te 0.875 0.375 0.375 1
Te2 Te 0.375 0.375 0.875 1
Te3 Te 0.375 0.875 0.375 1
Te4 Te 0.375 0.375 0.375 1


# MgVN3, optimized geometry, DFT PBE-GGA
# Space group = Pm-3m (221)
# Total magnetic moment = 0.0 μB per cell
# Total DFT energy (no corrections) = -35.174 eV/cell
data_MgVN3
_chemical_formula_sum 'Mg1 V1 N3'
_cell_length_a 3.800
_cell_length_b 3.800
_cell_length_c 3.800
_cell_angle_alpha 90.00
_cell_angle_beta 90.00
_cell_angle_gamma 90.00
_symmetry_space_group_name_H-M 'P 1'
_symmetry_Int_Tables_number 1
_symmetry_space_group_name_Hall 'P 1'
loop_
_atom_site_label
_atom_site_type_symbol
_atom_site_fract_x
_atom_site_fract_y
_atom_site_fract_z
_atom_site_occupancy
Mg1 Mg 0.500 0.500 0.500 1
V1 V 0.000 0.000 0.000 1
N1 N 0.000 0.500 0.000 1
N2 N 0.000 0.000 0.500 1
N3 N 0.500 0.000 0.000 1